(1)
# Pu2WC3

Pu2WC3 after structural relaxation (PBE, the Alexandria database).

**Energy**: -11.57 eV/atom

```
data_Pu2WC3
_symmetry_space_group_name_H-M 'P 1'
_symmetry_Int_Tables_number 1
_cell_length_a 4.5976
_cell_length_b 6.6364
_cell_length_c 5.9503
_cell_angle_alpha 106.19
_cell_angle_beta 112.73
_cell_angle_gamma 90.00
loop_
_symmetry_equiv_pos_as_xyz
'x,y,z'
loop_
_atom_site_label
_atom_site_type_symbol
_atom_site_fract_x
_atom_site_fract_y
_atom_site_fract_z
_atom_site_occupancy
Pu1 Pu 0.6700 0.5850 0.3400 1
Pu2 Pu 0.6700 0.0850 0.3400 1
Pu3 Pu 0.3300 0.4150 0.6600 1
Pu4 Pu 0.3300 0.9150 0.6600 1
C1 C 0.5000 0.7500 0.0000 1
C2 C 0.8603 0.9302 0.7208 1
C3 C 0.8604 0.4302 0.7208 1
C4 C 0.5000 0.2500 0.0000 1
C5 C 0.1397 0.0698 0.2792 1
C6 C 0.1396 0.5698 0.2792 1
W1 W 0.0000 0.2500 0.0000 1
W2 W 0.0000 0.7500 0.0000 1
```

(2)
# Tm5GeTe5

Tm5GeTe5 after structural relaxation (PBE, the Alexandria database).

**Energy**: -5.16 eV/atom
**E_form (uncorrected)**: -1.28 eV per atom

```
data_Tm5GeTe5
_symmetry_space_group_name_H-M 'P 1'
_symmetry_Int_Tables_number 1
_cell_length_a 6.0358
_cell_length_b 7.4080
_cell_length_c 8.5112
_cell_angle_alpha 107.01
_cell_angle_beta 90.00
_cell_angle_gamma 114.04
loop_
_symmetry_equiv_pos_as_xyz
'x,y,z'
loop_
_atom_site_label
_atom_site_type_symbol
_atom_site_fract_x
_atom_site_fract_y
_atom_site_fract_z
_atom_site_occupancy
Te1 Te 0.6644 0.3287 0.8255 1
Te2 Te 0.0000 0.0000 0.5000 1
Te3 Te 0.3277 0.6554 0.6637 1
Te4 Te 0.6723 0.3446 0.3363 1
Te5 Te 0.3356 0.6713 0.1745 1
Tm1 Tm 0.1551 0.3102 0.3162 1
Tm2 Tm 0.8449 0.6898 0.6838 1
Tm3 Tm 0.1561 0.3122 0.8410 1
Tm4 Tm 0.5000 0.0000 0.0000 1
Tm5 Tm 0.8439 0.6878 0.1590 1
Ge1 Ge 0.0000 0.0000 0.0000 1
```

(3)
# CaZr2Be

CaZr2Be after structural relaxation (PBE, the Alexandria database).

**Energy**: -5.52 eV/atom

```
data_CaZr2Be
_symmetry_space_group_name_H-M 'P 1'
_symmetry_Int_Tables_number 1
_cell_length_a 3.1181
_cell_length_b 3.1271
_cell_length_c 9.7286
_cell_angle_alpha 71.21
_cell_angle_beta 90.00
_cell_angle_gamma 90.00
loop_
_symmetry_equiv_pos_as_xyz
'x,y,z'
loop_
_atom_site_label
_atom_site_type_symbol
_atom_site_fract_x
_atom_site_fract_y
_atom_site_fract_z
_atom_site_occupancy
Zr1 Zr 0.0000 0.9239 0.0767 1
Zr2 Zr 0.0000 0.5761 0.4233 1
Ca1 Ca 0.5000 0.7500 0.7500 1
Be1 Be 0.5000 0.2500 0.2500 1
```

(4)
# Pr2ErPa2Ru5

Pr2ErPa2Ru5 after structural relaxation (PBE, the Alexandria database).

**Energy**: -8.21 eV/atom

```
data_Pr2ErPa2Ru5
_symmetry_space_group_name_H-M 'P 1'
_symmetry_Int_Tables_number 1
_cell_length_a 3.4354
_cell_length_b 11.1933
_cell_length_c 11.1933
_cell_angle_alpha 90.00
_cell_angle_beta 90.00
_cell_angle_gamma 90.00
loop_
_symmetry_equiv_pos_as_xyz
'x,y,z'
loop_
_atom_site_label
_atom_site_type_symbol
_atom_site_fract_x
_atom_site_fract_y
_atom_site_fract_z
_atom_site_occupancy
Pr1 Pr 0.0000 0.1663 0.3337 1
Pr2 Pr 0.0000 0.3337 0.8337 1
Pr3 Pr 0.0000 0.8337 0.6663 1
Pr4 Pr 0.0000 0.6663 0.1663 1
Ru1 Ru 0.5000 0.5448 0.7141 1
Ru2 Ru 0.5000 0.0448 0.7859 1
Ru3 Ru 0.5000 0.2141 0.0448 1
Ru4 Ru 0.5000 0.9552 0.2141 1
Ru5 Ru 0.5000 0.7859 0.9552 1
Ru6 Ru 0.5000 0.5000 0.0000 1
Ru7 Ru 0.5000 0.7141 0.4552 1
Ru8 Ru 0.5000 0.0000 0.5000 1
Ru9 Ru 0.5000 0.4552 0.2859 1
Ru10 Ru 0.5000 0.2859 0.5448 1
Pa1 Pa 0.0000 0.8548 0.3548 1
Pa2 Pa 0.0000 0.6452 0.8548 1
Pa3 Pa 0.0000 0.1452 0.6452 1
Pa4 Pa 0.0000 0.3548 0.1452 1
Er1 Er 0.0000 0.0000 0.0000 1
Er2 Er 0.0000 0.5000 0.5000 1
```

(5)
# La4DyS5

La4DyS5 after structural relaxation (PBE, the Alexandria database).

**Energy**: -6.62 eV/atom
**E_form (uncorrected)**: -2.12 eV per atom

```
data_La4DyS5
_symmetry_space_group_name_H-M 'P 1'
_symmetry_Int_Tables_number 1
_cell_length_a 5.8212
_cell_length_b 7.1126
_cell_length_c 7.1126
_cell_angle_alpha 80.36
_cell_angle_beta 65.84
_cell_angle_gamma 65.84
loop_
_symmetry_equiv_pos_as_xyz
'x,y,z'
loop_
_atom_site_label
_atom_site_type_symbol
_atom_site_fract_x
_atom_site_fract_y
_atom_site_fract_z
_atom_site_occupancy
S1 S 0.5010 0.0000 0.0000 1
S2 S 0.7122 0.1906 0.3870 1
S3 S 0.9028 0.3870 0.8094 1
S4 S 0.0992 0.6130 0.1906 1
S5 S 0.2898 0.8094 0.6130 1
Dy1 Dy 0.0010 0.0000 0.0000 1
La1 La 0.4038 0.3990 0.7955 1
La2 La 0.1994 0.2045 0.3990 1
La3 La 0.5983 0.6010 0.2045 1
La4 La 0.8028 0.7955 0.6010 1
```

(6)
# BeBH

BeBH after structural relaxation (PBE, the Alexandria database).

**Energy relative to the lowest polymorph listed for this composition**: 3.14 kJ per mole of atoms
**Energy**: -4.50 eV/atom

```
data_BeBH
_symmetry_space_group_name_H-M 'P 1'
_symmetry_Int_Tables_number 1
_cell_length_a 3.5675
_cell_length_b 3.1999
_cell_length_c 3.7372
_cell_angle_alpha 90.00
_cell_angle_beta 116.70
_cell_angle_gamma 90.00
loop_
_symmetry_equiv_pos_as_xyz
'x,y,z'
loop_
_atom_site_label
_atom_site_type_symbol
_atom_site_fract_x
_atom_site_fract_y
_atom_site_fract_z
_atom_site_occupancy
B1 B 0.6096 0.7500 0.1367 1
B2 B 0.3904 0.2500 0.8633 1
Be1 Be 0.3253 0.7500 0.5336 1
Be2 Be 0.6747 0.2500 0.4664 1
H1 H 0.0454 0.2500 0.8710 1
H2 H 0.9546 0.7500 0.1290 1
```

(7)
# Rb3TeCl7

Rb3TeCl7 after structural relaxation (PBE, the Alexandria database).

**Energy**: -3.07 eV/atom
**E_form (uncorrected)**: -1.35 eV per atom

```
data_Rb3TeCl7
_symmetry_space_group_name_H-M 'P 1'
_symmetry_Int_Tables_number 1
_cell_length_a 7.3267
_cell_length_b 7.3267
_cell_length_c 8.1895
_cell_angle_alpha 76.20
_cell_angle_beta 76.20
_cell_angle_gamma 90.82
loop_
_symmetry_equiv_pos_as_xyz
'x,y,z'
loop_
_atom_site_label
_atom_site_type_symbol
_atom_site_fract_x
_atom_site_fract_y
_atom_site_fract_z
_atom_site_occupancy
Cl1 Cl 0.5717 0.5717 0.5450 1
Cl2 Cl 0.3349 0.9881 0.7744 1
Cl3 Cl 0.1585 0.1585 0.1793 1
Cl4 Cl 0.0461 0.6802 0.1548 1
Cl5 Cl 0.9881 0.3349 0.7744 1
Cl6 Cl 0.8565 0.8565 0.7857 1
Cl7 Cl 0.6802 0.0461 0.1548 1
Rb1 Rb 0.2128 0.7609 0.4814 1
Rb2 Rb 0.5039 0.5039 0.9457 1
Rb3 Rb 0.7609 0.2128 0.4814 1
Te1 Te 0.0113 0.0113 0.9730 1
```

(8)
# La2SeCl

La2SeCl after structural relaxation (PBE, the Alexandria database).

**Energy relative to the lowest polymorph listed for this composition**: 7.49 kJ per mole of atoms
**Energy**: -5.50 eV/atom
**E_form (uncorrected)**: -1.70 eV per atom

```
data_La2SeCl
_symmetry_space_group_name_H-M 'P 1'
_symmetry_Int_Tables_number 1
_cell_length_a 4.2140
_cell_length_b 4.2137
_cell_length_c 8.1223
_cell_angle_alpha 89.90
_cell_angle_beta 89.91
_cell_angle_gamma 60.02
loop_
_symmetry_equiv_pos_as_xyz
'x,y,z'
loop_
_atom_site_label
_atom_site_type_symbol
_atom_site_fract_x
_atom_site_fract_y
_atom_site_fract_z
_atom_site_occupancy
Cl1 Cl 0.7115 0.4815 0.2622 1
La1 La 0.7123 0.4831 0.6242 1
La2 La 0.3784 0.1487 0.0396 1
Se1 Se 0.0453 0.8159 0.8331 1
```

(9)
# Ta2HN

Ta2HN after structural relaxation (PBE, the Alexandria database).

**Energy relative to the lowest polymorph listed for this composition**: 25.56 kJ per mole of atoms
**Energy**: -9.21 eV/atom

```
data_Ta2HN
_symmetry_space_group_name_H-M 'P 1'
_symmetry_Int_Tables_number 1
_cell_length_a 4.6304
_cell_length_b 4.6304
_cell_length_c 5.6209
_cell_angle_alpha 65.68
_cell_angle_beta 65.68
_cell_angle_gamma 90.00
loop_
_symmetry_equiv_pos_as_xyz
'x,y,z'
loop_
_atom_site_label
_atom_site_type_symbol
_atom_site_fract_x
_atom_site_fract_y
_atom_site_fract_z
_atom_site_occupancy
Ta1 Ta 0.3750 0.3859 0.7500 1
Ta2 Ta 0.8750 0.8641 0.7500 1
Ta3 Ta 0.1359 0.6250 0.2500 1
Ta4 Ta 0.6141 0.1250 0.2500 1
H1 H 0.2500 0.7500 0.5000 1
H2 H 0.5000 0.5000 0.0000 1
N1 N 0.0000 0.0000 0.0000 1
N2 N 0.7500 0.2500 0.5000 1
```

(10)
# Pr2PaAs3

Pr2PaAs3 after structural relaxation (PBE, the Alexandria database).

**Energy relative to the lowest polymorph listed for this composition**: 0.00 kJ per mole of atoms
**Energy**: -6.86 eV/atom

```
data_Pr2PaAs3
_symmetry_space_group_name_H-M 'P 1'
_symmetry_Int_Tables_number 1
_cell_length_a 7.3256
_cell_length_b 7.3256
_cell_length_c 13.3579
_cell_angle_alpha 100.55
_cell_angle_beta 100.55
_cell_angle_gamma 109.40
loop_
_symmetry_equiv_pos_as_xyz
'x,y,z'
loop_
_atom_site_label
_atom_site_type_symbol
_atom_site_fract_x
_atom_site_fract_y
_atom_site_fract_z
_atom_site_occupancy
Pr1 Pr 0.9982 0.4982 0.9964 1
Pr2 Pr 0.2518 0.2518 0.5036 1
Pr3 Pr 0.5819 0.5819 0.1638 1
Pr4 Pr 0.6681 0.1681 0.3362 1
Pr5 Pr 0.8319 0.3319 0.6638 1
Pr6 Pr 0.7482 0.7482 0.4964 1
Pr7 Pr 0.4181 0.4181 0.8362 1
Pr8 Pr 0.5018 0.0018 0.0036 1
As1 As 0.3214 0.8360 0.1722 1
As2 As 0.0148 0.5148 0.5000 1
As3 As 0.0860 0.0714 0.6722 1
As4 As 0.9286 0.9140 0.3278 1
As5 As 0.5863 0.6008 0.6722 1
As6 As 0.2352 0.2352 0.0000 1
As7 As 0.7648 0.7648 0.0000 1
As8 As 0.3992 0.4137 0.3278 1
As9 As 0.8508 0.3363 0.1722 1
As10 As 0.6637 0.1492 0.8278 1
As11 As 0.1640 0.6786 0.8278 1
As12 As 0.4852 0.9852 0.5000 1
Pa1 Pa 0.3336 0.8336 0.6671 1
Pa2 Pa 0.0836 0.0836 0.1671 1
Pa3 Pa 0.9164 0.9164 0.8329 1
Pa4 Pa 0.1664 0.6664 0.3329 1
```